Record 1
{
  "formula": "LiZrGaNi",
  "functional": "PBE-GGA",
  "state": "relaxed",
  "magmom_total_mub_per_fu": 0.00,
  "vol_a3_per_fu": 56.9,
  "e_tot_ev_per_cell": -42.19,
  "sg": "P-4m2",
  "de_polymorph_mev_per_atom": 0,
  "lattice": [[4.318, 0.000, 0.000], [0.000, 4.318, 0.000], [0.000, 0.000, 6.107]],
  "species": ["Ga", "Ga", "Li", "Li", "Ni", "Ni", "Zr", "Zr"],
  "fractional_positions": [[0.500, 0.500, 0.000], [0.000, 0.000, 0.500], [0.000, 0.500, 0.250], [0.500, 0.000, 0.750], [0.500, 0.000, 0.249], [0.000, 0.500, 0.751], [0.000, 0.000, 0.000], [0.500, 0.500, 0.500]]
}

=====

Record 2
{
  "formula": "LiNpGa",
  "functional": "PBE-GGA",
  "state": "relaxed",
  "magmom_total_mub_per_fu": 4.02,
  "vol_a3_per_fu": 63.3,
  "e_tot_ev_per_cell": -16.07,
  "sg": "F-43m",
  "lattice": [[-1.582, -4.122, 0.715], [-0.521, -1.502, 4.181], [-4.108, -0.559, 1.680]],
  "species": ["Ga", "Li", "Np"],
  "fractional_positions": [[0.250, 0.250, 0.250], [0.000, 0.000, 0.000], [0.750, 0.750, 0.750]]
}

=====

Record 3
{
  "formula": "Li4GaPdO6",
  "functional": "PBE-GGA",
  "state": "relaxed",
  "vol_a3_per_fu": 105.8,
  "e_tot_ev_per_cell": -63.54,
  "sg": "C2",
  "lattice": [[-2.378, 3.143, 3.219], [2.508, -4.055, 1.779], [3.885, 2.902, -1.323]],
  "species": ["Ga", "Li", "Li", "Li", "Li", "O", "O", "O", "O", "O", "O", "Pd"],
  "fractional_positions": [[0.834, 0.166, 0.000], [0.499, 0.501, 0.000], [0.003, 0.997, 0.500], [0.658, 0.342, 0.500], [0.340, 0.660, 0.500], [0.927, 0.579, 0.235], [0.581, 0.928, 0.236], [0.231, 0.233, 0.238], [0.767, 0.769, 0.762], [0.072, 0.419, 0.764], [0.421, 0.073, 0.765], [0.167, 0.833, 0.000]]
}

=====

Record 4
{
  "formula": "Li4TaGaO6",
  "functional": "PBE-GGA",
  "state": "relaxed",
  "magmom_total_mub_per_fu": 0.00,
  "vol_a3_per_fu": 109.1,
  "e_tot_ev_per_cell": -79.73,
  "sg": "C2",
  "lattice": [[-2.561, -4.426, -0.005], [-2.561, 4.426, -0.005], [1.730, 0.000, -4.811]],
  "species": ["Ga", "Li", "Li", "Li", "Li", "O", "O", "O", "O", "O", "O", "Ta"],
  "fractional_positions": [[0.833, 0.167, 0.000], [0.501, 0.499, 0.000], [0.991, 0.009, 0.500], [0.661, 0.339, 0.500], [0.346, 0.654, 0.500], [0.931, 0.579, 0.233], [0.578, 0.929, 0.233], [0.227, 0.226, 0.236], [0.774, 0.773, 0.764], [0.071, 0.422, 0.767], [0.421, 0.069, 0.767], [0.167, 0.833, 0.000]]
}